NdDySiS: optimized geometry, GGA-PBE.

Computed properties:
Space group: R3m (160)
E_tot in eV/atom: -6.082

Lattice parameters (Å, degrees): 4.0912 4.0912 7.1731 73.43 73.43 60.00
Fractional coordinates of all 4 atoms:
Si: 0.9411 0.9411 0.1767
Nd: 0.6937 0.6937 0.9190
Dy: 0.1940 0.1940 0.4180
S: 0.4477 0.4477 0.6570